# YScZn2Ru

YScZn2Ru after structural relaxation (GGA-PBE, the Alexandria database).

For the formation energy, the calculation gives 236 meV per atom.

It has space group P4/mmm (No. 123), with a = 4.887 Å, b = 4.887 Å, c = 4.971 Å, α = 90.00°, β = 90.00° and γ = 90.00°. The distinct sites, in fractional coordinates, are Y at (0.000, 0.000, 0.000), Sc at (0.500, 0.500, 0.000), Zn at (0.000, 0.500, 0.500) and Ru at (0.000, 0.000, 0.500).